Entry from Alexandria via LeMat-Bulk: a relaxed Zr3CdN crystal (PBE).

a b c (Å): 3.255 6.163 10.341
angles (deg): 105.40 90.04 105.27
Element x y z (fractional)
Zr: 0.000 0.000 0.000
Zr: 0.106 0.214 0.501
Zr: 0.256 0.513 0.965
Zr: 0.364 0.729 0.477
Zr: 0.551 0.104 0.752
Zr: 0.814 0.629 0.722
Cd: 0.455 0.907 0.239
Cd: 0.703 0.407 0.226
N: 0.408 0.817 0.865
N: 0.958 0.917 0.606

Properties
energy relative to the elements, uncorrected: -0.74 eV per atom
space group: P1 (1)
total magnetic moment: 0.0 μB/f.u.
calculated total energy: -7.721 eV per atom
N(E_F): 7.7 states/eV per cell